1.
! Ac2LaSb3Rh4 (PBE, optimized geometry); values from VASP
! Raw formation energy: -8.668 eV/f.u.
! Calculated volume: 240.1 Å³ per cell
! D(E_F): 7.91 states/eV/cell
&SYSTEM
  ibrav = 0, nat = 10, ntyp = 4
/
ATOMIC_SPECIES
Ac 227.00 Ac.upf
La 138.91 La.upf
Sb 121.76 Sb.upf
Rh 102.91 Rh.upf
ATOMIC_POSITIONS crystal
Ac 0.0000 0.5000 0.2246
Ac 0.5000 0.0000 0.7754
La 0.0000 0.0000 0.5000
Sb 0.0000 0.5000 0.8789
Sb 0.5000 0.0000 0.1211
Sb 0.5000 0.5000 0.5000
Rh 0.0000 0.0000 0.0000
Rh 0.0000 0.5000 0.6421
Rh 0.5000 0.0000 0.3579
Rh 0.5000 0.5000 0.0000
CELL_PARAMETERS angstrom
4.6693 0.0000 0.0000
0.0000 4.6693 0.0000
0.0000 0.0000 11.0144

---

2.
! AcLaSbRh (PBE, optimized geometry); values from VASP
! Raw formation energy: -2.689 eV/f.u.
! Calculated volume: 115.0 Å³ per cell
! D(E_F): 1.50 states/eV/cell
&SYSTEM
  ibrav = 0, nat = 4, ntyp = 4
/
ATOMIC_SPECIES
Ac 227.00 Ac.upf
La 138.91 La.upf
Sb 121.76 Sb.upf
Rh 102.91 Rh.upf
ATOMIC_POSITIONS crystal
Ac 0.0000 0.0000 0.0000
La 0.5000 0.5000 0.5000
Sb 0.2500 0.2500 0.2500
Rh 0.7500 0.7500 0.7500
CELL_PARAMETERS angstrom
0.0000 3.8594 3.8594
3.8594 0.0000 3.8594
3.8594 3.8594 0.0000

---

3.
! AcLaSb2Rh5 (PBE, optimized geometry); values from VASP
! Raw formation energy: -5.158 eV/f.u.
! Calculated volume: 190.5 Å³ per cell
! D(E_F): 5.02 states/eV/cell
&SYSTEM
  ibrav = 0, nat = 9, ntyp = 4
/
ATOMIC_SPECIES
Ac 227.00 Ac.upf
La 138.91 La.upf
Sb 121.76 Sb.upf
Rh 102.91 Rh.upf
ATOMIC_POSITIONS crystal
Ac 0.0000 0.0000 0.0000
La 0.0000 0.0000 0.5000
Sb 0.5000 0.5000 0.3398
Sb 0.5000 0.5000 0.6602
Rh 0.0000 0.5000 0.2214
Rh 0.0000 0.5000 0.7786
Rh 0.5000 0.0000 0.2214
Rh 0.5000 0.0000 0.7786
Rh 0.5000 0.5000 0.0000
CELL_PARAMETERS angstrom
4.5562 0.0000 0.0000
0.0000 4.5562 0.0000
0.0000 0.0000 9.1758

---

4.
! Ac2LaSb4Rh3 (PBE, optimized geometry); values from VASP
! Raw formation energy: -8.279 eV/f.u.
! Calculated volume: 260.6 Å³ per cell
! D(E_F): 4.97 states/eV/cell
&SYSTEM
  ibrav = 0, nat = 10, ntyp = 4
/
ATOMIC_SPECIES
Ac 227.00 Ac.upf
La 138.91 La.upf
Sb 121.76 Sb.upf
Rh 102.91 Rh.upf
ATOMIC_POSITIONS crystal
Ac 0.0000 0.5000 0.2205
Ac 0.5000 0.0000 0.7795
La 0.0000 0.0000 0.5000
Sb 0.0000 0.0000 0.0000
Sb 0.0000 0.5000 0.6708
Sb 0.5000 0.0000 0.3292
Sb 0.5000 0.5000 0.0000
Rh 0.0000 0.5000 0.8918
Rh 0.5000 0.0000 0.1082
Rh 0.5000 0.5000 0.5000
CELL_PARAMETERS angstrom
4.6389 0.0000 0.0000
0.0000 4.6389 0.0000
0.0000 0.0000 12.1085